Entry 1:
Material: UNi12P6
Method: DFT, GGA-PBE
State: relaxed

As for the space-group type: No. 166.

Structure (CIF):
```
data_UNi12P6
_chemical_formula_sum 'U1 Ni12 P6'
_cell_length_a 6.4241
_cell_length_b 6.4241
_cell_length_c 6.4241
_cell_angle_alpha 103.65
_cell_angle_beta 103.65
_cell_angle_gamma 103.65
_symmetry_space_group_name_H-M 'P 1'
_symmetry_Int_Tables_number 1
loop_
_symmetry_equiv_pos_as_xyz
'x,y,z'
loop_
_atom_site_label
_atom_site_type_symbol
_atom_site_fract_x
_atom_site_fract_y
_atom_site_fract_z
U1 U 0.0000 0.0000 0.0000
Ni1 Ni 0.1262 0.5000 0.8738
Ni2 Ni 0.1262 0.8738 0.5000
Ni3 Ni 0.1798 0.4500 0.4500
Ni4 Ni 0.4500 0.1798 0.4500
Ni5 Ni 0.4500 0.4500 0.1798
Ni6 Ni 0.5000 0.1262 0.8738
Ni7 Ni 0.5000 0.8738 0.1262
Ni8 Ni 0.5500 0.5500 0.8202
Ni9 Ni 0.5500 0.8202 0.5500
Ni10 Ni 0.8202 0.5500 0.5500
Ni11 Ni 0.8738 0.1262 0.5000
Ni12 Ni 0.8738 0.5000 0.1262
P1 P 0.2379 0.2379 0.6833
P2 P 0.2379 0.6833 0.2379
P3 P 0.3167 0.7621 0.7621
P4 P 0.6833 0.2379 0.2379
P5 P 0.7621 0.3167 0.7621
P6 P 0.7621 0.7621 0.3167
```

Entry 2:
Material: UNi4P2
Method: DFT, GGA-PBE
State: relaxed

The polymorph energy (0 for the lowest one) comes out at 109 meV/atom. As for the space-group type: No. 166.

Structure (CIF):
```
data_UNi4P2
_chemical_formula_sum 'U1 Ni4 P2'
_cell_length_a 7.5070
_cell_length_b 7.5070
_cell_length_c 7.5070
_cell_angle_alpha 29.99
_cell_angle_beta 29.99
_cell_angle_gamma 29.99
_symmetry_space_group_name_H-M 'P 1'
_symmetry_Int_Tables_number 1
loop_
_symmetry_equiv_pos_as_xyz
'x,y,z'
loop_
_atom_site_label
_atom_site_type_symbol
_atom_site_fract_x
_atom_site_fract_y
_atom_site_fract_z
U1 U 0.0000 0.0000 0.0000
Ni1 Ni 0.1420 0.1420 0.1420
Ni2 Ni 0.4277 0.4277 0.4277
Ni3 Ni 0.5723 0.5723 0.5723
Ni4 Ni 0.8580 0.8580 0.8580
P1 P 0.2476 0.2476 0.2476
P2 P 0.7524 0.7524 0.7524
```

Entry 3:
Material: U2Ni3P2
Method: DFT, GGA-PBE
State: relaxed

As for the space-group type: No. 12.

Structure (CIF):
```
data_U2Ni3P2
_chemical_formula_sum 'U4 Ni6 P4'
_cell_length_a 10.0715
_cell_length_b 3.6087
_cell_length_c 6.4178
_cell_angle_alpha 90.00
_cell_angle_beta 119.73
_cell_angle_gamma 90.00
_symmetry_space_group_name_H-M 'P 1'
_symmetry_Int_Tables_number 1
loop_
_symmetry_equiv_pos_as_xyz
'x,y,z'
loop_
_atom_site_label
_atom_site_type_symbol
_atom_site_fract_x
_atom_site_fract_y
_atom_site_fract_z
U1 U 0.1724 0.0000 0.3327
U2 U 0.3276 0.5000 0.6673
U3 U 0.6724 0.5000 0.3327
U4 U 0.8276 0.0000 0.6673
Ni1 Ni 0.0000 0.5000 0.5000
Ni2 Ni 0.1064 0.5000 0.9454
Ni3 Ni 0.3936 0.0000 0.0546
Ni4 Ni 0.5000 0.0000 0.5000
Ni5 Ni 0.6064 0.0000 0.9454
Ni6 Ni 0.8936 0.5000 0.0546
P1 P 0.1381 0.0000 0.7529
P2 P 0.3619 0.5000 0.2471
P3 P 0.6381 0.5000 0.7529
P4 P 0.8619 0.0000 0.2471
```

Entry 4:
Material: UNi4P4
Method: DFT, GGA-PBE
State: relaxed

As for the space-group type: No. 137.

Structure (CIF):
```
data_UNi4P4
_chemical_formula_sum 'U2 Ni8 P8'
_cell_length_a 5.7906
_cell_length_b 5.7906
_cell_length_c 7.2804
_cell_angle_alpha 90.00
_cell_angle_beta 90.00
_cell_angle_gamma 90.00
_symmetry_space_group_name_H-M 'P 1'
_symmetry_Int_Tables_number 1
loop_
_symmetry_equiv_pos_as_xyz
'x,y,z'
loop_
_atom_site_label
_atom_site_type_symbol
_atom_site_fract_x
_atom_site_fract_y
_atom_site_fract_z
U1 U 0.2500 0.7500 0.2500
U2 U 0.7500 0.2500 0.7500
Ni1 Ni 0.0297 0.2500 0.1457
Ni2 Ni 0.2500 0.0297 0.6457
Ni3 Ni 0.2500 0.4703 0.6457
Ni4 Ni 0.4703 0.2500 0.1457
Ni5 Ni 0.5297 0.7500 0.8543
Ni6 Ni 0.7500 0.5297 0.3543
Ni7 Ni 0.7500 0.9703 0.3543
Ni8 Ni 0.9703 0.7500 0.8543
P1 P 0.0233 0.2500 0.4477
P2 P 0.2500 0.0233 0.9477
P3 P 0.2500 0.4767 0.9477
P4 P 0.4767 0.2500 0.4477
P5 P 0.5233 0.7500 0.5523
P6 P 0.7500 0.5233 0.0523
P7 P 0.7500 0.9767 0.0523
P8 P 0.9767 0.7500 0.5523
```

Entry 5:
Material: UNi3P2
Method: DFT, GGA-PBE
State: relaxed

The polymorph energy (0 for the lowest one) comes out at 60 meV/atom. As for the space-group type: No. 12.

Structure (CIF):
```
data_UNi3P2
_chemical_formula_sum 'U2 Ni6 P4'
_cell_length_a 7.3065
_cell_length_b 7.3065
_cell_length_c 6.8901
_cell_angle_alpha 114.46
_cell_angle_beta 114.46
_cell_angle_gamma 29.52
_symmetry_space_group_name_H-M 'P 1'
_symmetry_Int_Tables_number 1
loop_
_symmetry_equiv_pos_as_xyz
'x,y,z'
loop_
_atom_site_label
_atom_site_type_symbol
_atom_site_fract_x
_atom_site_fract_y
_atom_site_fract_z
U1 U 0.1515 0.1515 0.0675
U2 U 0.8485 0.8485 0.9325
Ni1 Ni 0.0442 0.0442 0.3720
Ni2 Ni 0.3156 0.3156 0.5624
Ni3 Ni 0.4005 0.4005 0.3120
Ni4 Ni 0.5995 0.5995 0.6880
Ni5 Ni 0.6844 0.6844 0.4376
Ni6 Ni 0.9558 0.9558 0.6280
P1 P 0.1904 0.1904 0.6836
P2 P 0.4816 0.4816 0.8232
P3 P 0.5184 0.5184 0.1768
P4 P 0.8096 0.8096 0.3164
```

Entry 6:
Material: UNi2P2
Method: DFT, GGA-PBE
State: relaxed

As for the space-group type: No. 70.

Structure (CIF):
```
data_UNi2P2
_chemical_formula_sum 'U2 Ni4 P4'
_cell_length_a 7.3967
_cell_length_b 6.3822
_cell_length_c 5.4515
_cell_angle_alpha 76.93
_cell_angle_beta 57.19
_cell_angle_gamma 45.88
_symmetry_space_group_name_H-M 'P 1'
_symmetry_Int_Tables_number 1
loop_
_symmetry_equiv_pos_as_xyz
'x,y,z'
loop_
_atom_site_label
_atom_site_type_symbol
_atom_site_fract_x
_atom_site_fract_y
_atom_site_fract_z
U1 U 0.1250 0.1250 0.1250
U2 U 0.8750 0.8750 0.8750
Ni1 Ni 0.2681 0.2681 0.4819
Ni2 Ni 0.4819 0.4819 0.2681
Ni3 Ni 0.5181 0.5181 0.7319
Ni4 Ni 0.7319 0.7319 0.5181
P1 P 0.1741 0.5759 0.1741
P2 P 0.4241 0.8259 0.4241
P3 P 0.5759 0.1741 0.5759
P4 P 0.8259 0.4241 0.8259
```

Entry 7:
Material: UNi3P2
Method: DFT, GGA-PBE
State: relaxed

The polymorph energy (0 for the lowest one) comes out at 13 meV/atom. As for the space-group type: No. 12.

Structure (CIF):
```
data_UNi3P2
_chemical_formula_sum 'U3 Ni9 P6'
_cell_length_a 7.7360
_cell_length_b 7.7360
_cell_length_c 9.1359
_cell_angle_alpha 106.29
_cell_angle_beta 106.29
_cell_angle_gamma 27.82
_symmetry_space_group_name_H-M 'P 1'
_symmetry_Int_Tables_number 1
loop_
_symmetry_equiv_pos_as_xyz
'x,y,z'
loop_
_atom_site_label
_atom_site_type_symbol
_atom_site_fract_x
_atom_site_fract_y
_atom_site_fract_z
U1 U 0.0000 0.0000 0.0000
U2 U 0.1562 0.1562 0.7044
U3 U 0.8438 0.8438 0.2956
Ni1 Ni 0.0420 0.0420 0.3417
Ni2 Ni 0.2150 0.2150 0.3953
Ni3 Ni 0.3227 0.3227 0.0270
Ni4 Ni 0.3687 0.3687 0.7851
Ni5 Ni 0.5000 0.5000 0.5000
Ni6 Ni 0.6313 0.6313 0.2149
Ni7 Ni 0.6773 0.6773 0.9730
Ni8 Ni 0.7850 0.7850 0.6047
Ni9 Ni 0.9580 0.9580 0.6583
P1 P 0.1980 0.1980 0.1295
P2 P 0.3605 0.3605 0.5394
P3 P 0.4652 0.4652 0.2112
P4 P 0.5348 0.5348 0.7888
P5 P 0.6395 0.6395 0.4606
P6 P 0.8020 0.8020 0.8705
```

Entry 8:
Material: UNi4P2
Method: DFT, GGA-PBE
State: relaxed

The polymorph energy (0 for the lowest one) comes out at 0 meV/atom. As for the space-group type: No. 136.

Structure (CIF):
```
data_UNi4P2
_chemical_formula_sum 'U2 Ni8 P4'
_cell_length_a 7.0528
_cell_length_b 7.0528
_cell_length_c 3.6544
_cell_angle_alpha 90.00
_cell_angle_beta 90.00
_cell_angle_gamma 90.00
_symmetry_space_group_name_H-M 'P 1'
_symmetry_Int_Tables_number 1
loop_
_symmetry_equiv_pos_as_xyz
'x,y,z'
loop_
_atom_site_label
_atom_site_type_symbol
_atom_site_fract_x
_atom_site_fract_y
_atom_site_fract_z
U1 U 0.0000 0.0000 0.0000
U2 U 0.5000 0.5000 0.5000
Ni1 Ni 0.0902 0.3401 0.5000
Ni2 Ni 0.1599 0.5902 0.0000
Ni3 Ni 0.3401 0.0902 0.5000
Ni4 Ni 0.4098 0.8401 0.0000
Ni5 Ni 0.5902 0.1599 0.0000
Ni6 Ni 0.6599 0.9098 0.5000
Ni7 Ni 0.8401 0.4098 0.0000
Ni8 Ni 0.9098 0.6599 0.5000
P1 P 0.2178 0.7822 0.5000
P2 P 0.2822 0.2822 0.0000
P3 P 0.7178 0.7178 0.0000
P4 P 0.7822 0.2178 0.5000
```

Entry 9:
Material: UNi4P
Method: DFT, GGA-PBE
State: relaxed

As for the space-group type: No. 51.

Structure (CIF):
```
data_UNi4P
_chemical_formula_sum 'U2 Ni8 P2'
_cell_length_a 6.9195
_cell_length_b 3.6465
_cell_length_c 6.2954
_cell_angle_alpha 90.00
_cell_angle_beta 90.00
_cell_angle_gamma 90.00
_symmetry_space_group_name_H-M 'P 1'
_symmetry_Int_Tables_number 1
loop_
_symmetry_equiv_pos_as_xyz
'x,y,z'
loop_
_atom_site_label
_atom_site_type_symbol
_atom_site_fract_x
_atom_site_fract_y
_atom_site_fract_z
U1 U 0.2500 0.0000 0.1337
U2 U 0.7500 0.0000 0.8663
Ni1 Ni 0.0000 0.0000 0.5000
Ni2 Ni 0.0498 0.5000 0.8108
Ni3 Ni 0.2500 0.5000 0.4522
Ni4 Ni 0.4502 0.5000 0.8108
Ni5 Ni 0.5000 0.0000 0.5000
Ni6 Ni 0.5498 0.5000 0.1892
Ni7 Ni 0.7500 0.5000 0.5478
Ni8 Ni 0.9502 0.5000 0.1892
P1 P 0.2500 0.0000 0.7155
P2 P 0.7500 0.0000 0.2845
```

Entry 10:
Material: U2Ni12P7
Method: DFT, GGA-PBE
State: relaxed

As for the space-group type: No. 174.

Structure (CIF):
```
data_U2Ni12P7
_chemical_formula_sum 'U2 Ni12 P7'
_cell_length_a 9.0796
_cell_length_b 9.0796
_cell_length_c 3.6751
_cell_angle_alpha 90.00
_cell_angle_beta 90.00
_cell_angle_gamma 120.00
_symmetry_space_group_name_H-M 'P 1'
_symmetry_Int_Tables_number 1
loop_
_symmetry_equiv_pos_as_xyz
'x,y,z'
loop_
_atom_site_label
_atom_site_type_symbol
_atom_site_fract_x
_atom_site_fract_y
_atom_site_fract_z
U1 U 0.0000 0.0000 0.0000
U2 U 0.3333 0.6667 0.5000
Ni1 Ni 0.0532 0.7629 0.5000
Ni2 Ni 0.0993 0.3892 0.0000
Ni3 Ni 0.2371 0.2903 0.5000
Ni4 Ni 0.2898 0.9007 0.0000
Ni5 Ni 0.3922 0.2134 0.0000
Ni6 Ni 0.5416 0.1173 0.5000
Ni7 Ni 0.5758 0.4584 0.5000
Ni8 Ni 0.6108 0.7102 0.0000
Ni9 Ni 0.7097 0.9468 0.5000
Ni10 Ni 0.7866 0.1788 0.0000
Ni11 Ni 0.8212 0.6078 0.0000
Ni12 Ni 0.8827 0.4242 0.5000
P1 P 0.0740 0.6249 0.0000
P2 P 0.2600 0.0417 0.5000
P3 P 0.3751 0.4491 0.0000
P4 P 0.5509 0.9260 0.0000
P5 P 0.6667 0.3333 0.0000
P6 P 0.7817 0.7400 0.5000
P7 P 0.9583 0.2183 0.5000
```

no.,energy of formation from the pure elements (kJ per mole of atoms),uncorrected energy (eV per atom)
1,-42.5,-6.39
2,-54.9,-7.03
3,-58.0,-7.85
4,-44.7,-6.69
5,-65.9,-7.26
6,-62.8,-7.38
7,-70.4,-7.30
8,-65.3,-7.14
9,-37.2,-7.02
10,-62.7,-6.83